Compound: Hf2NbAs
Source: Alexandria via LeMat-Bulk
Functional: GGA-PBE
Structure: relaxed Values from VASP.

Structure (Quantum ESPRESSO input):
```
&SYSTEM
  ibrav = 0, nat = 8, ntyp = 3
/
ATOMIC_SPECIES
Hf 178.49 Hf.upf
Nb 92.91 Nb.upf
As 74.92 As.upf
CELL_PARAMETERS angstrom
-3.9255 3.9255 2.7105
3.9255 -3.9255 2.7105
3.9255 3.9255 -2.7105
ATOMIC_POSITIONS angstrom
Hf 1.9628 1.6434 -0.6776
Hf 2.2821 -1.9628 3.3881
Hf 1.9628 2.2821 2.0329
Hf 1.6434 5.8883 0.6776
Nb 3.9255 0.0000 1.3552
Nb 0.0000 0.0000 2.7105
As 0.0000 0.0000 0.0000
As 0.0000 3.9255 1.3552
```

Space group: I-42d
Calculated formation energy (eV/f.u.): 0.428
Size of the total moment (μB per formula unit): 0.000

Compound: HfNb3As
Source: Alexandria via LeMat-Bulk
Functional: GGA-PBE
Structure: relaxed Values from VASP.

Structure (Quantum ESPRESSO input):
```
&SYSTEM
  ibrav = 0, nat = 20, ntyp = 3
/
ATOMIC_SPECIES
Hf 178.49 Hf.upf
Nb 92.91 Nb.upf
As 74.92 As.upf
CELL_PARAMETERS angstrom
9.0495 0.0000 0.0000
0.0000 3.4748 0.0000
0.0000 0.0000 11.9349
ATOMIC_POSITIONS angstrom
Hf 1.3710 0.8687 0.1561
Hf 3.1538 2.6061 6.1236
Hf 5.8958 0.8687 5.8113
Hf 7.6785 2.6061 11.7788
Nb 0.5008 0.8687 4.9564
Nb 0.7678 2.6061 2.6952
Nb 1.4555 2.6061 9.4807
Nb 3.0693 0.8687 3.5132
Nb 3.7570 0.8687 8.6627
Nb 4.0240 2.6061 10.9238
Nb 5.0255 0.8687 1.0111
Nb 5.2926 2.6061 3.2722
Nb 5.9803 2.6061 8.4217
Nb 7.5940 0.8687 2.4542
Nb 8.2817 0.8687 9.2397
Nb 8.5487 2.6061 6.9786
As 1.4180 0.8687 7.4758
As 3.1067 2.6061 1.5084
As 5.9428 0.8687 10.4265
As 7.6315 2.6061 4.4591
```

Space group: Pnma
Calculated formation energy (eV/f.u.): -1.786
Size of the total moment (μB per formula unit): 0.000

Which theoretical density belongs to each record? In order, 10.43 9.42 g cm⁻³.
Which total energy belongs to each record? In order, -8.549 -9.320 eV per atom.